<A>
Here is MnSeCl2 after structural relaxation from Alexandria via LeMat-Bulk. Energies are from PBE.

## Properties
The value obtained for the density of states at the Fermi level is 2.61 states/eV per cell. Its crystal system is tetragonal.

Unit cell a=4.8065 b=4.8065 c=4.8065 alpha=120.12 beta=120.12 gamma=89.80
Positions (direct):
1 Mn 0.0000 0.0000 0.0000
2 Se 0.2500 0.7500 0.5000
3 Cl 0.5000 0.5000 0.0000
4 Cl 0.7500 0.2500 0.5000


<B>
Here is MnSeCl2 after structural relaxation from Alexandria via LeMat-Bulk. Energies are from PBE.

## Properties
The value obtained for the density of states at the Fermi level is 2.81 states/eV per cell. Its crystal system is orthorhombic.

Unit cell a=3.9362 b=3.9362 c=8.7628 alpha=90.00 beta=90.00 gamma=129.21
Positions (direct):
1 Mn 0.0000 0.0000 0.0000
2 Se 0.5000 0.5000 0.1971
3 Cl 0.0000 0.0000 0.4455
4 Cl 0.5000 0.5000 0.8157


<C>
Here is MnSeCl2 after structural relaxation from Alexandria via LeMat-Bulk. Energies are from PBE.

## Properties
The value obtained for the density of states at the Fermi level is 11.14 states/eV per cell. Its crystal system is tetragonal.

Unit cell a=6.6179 b=6.6179 c=6.6179 alpha=119.24 beta=119.24 gamma=91.33
Positions (direct):
1 Mn 0.0000 0.0000 0.0000
2 Mn 0.7500 0.2500 0.5000
3 Se 0.2500 0.7500 0.5000
4 Se 0.5000 0.5000 0.0000
5 Cl 0.3750 0.2262 0.3512
6 Cl 0.7738 0.1250 0.1488
7 Cl 0.8750 0.0238 0.6488
8 Cl 0.9762 0.6250 0.8512


Most stable structure: <B>